Crystalline PmPr2Hg at its relaxed geometry, computed with PBE.

abc: 4.963 4.968 4.968
angles: 90.00 90.00 90.00
Atoms (fractional coordinates):
Pr: 0.000 0.000 0.500
Pr: 0.000 0.500 0.000
Hg: 0.500 0.000 0.000
Pm: 0.500 0.500 0.500

Output
* offset from the most stable computed form: 0.053 eV/atom
* spin magnetization: 0.00 μB/f.u.
* formation enthalpy at 0 K: -17 kJ per mole of atoms
* E_tot: -3.8256 eV per atom